A plane-wave DFT calculation with PBE was carried out for an optimized crystal structure of Ho4Zn.

Values from the calculation:
As for the density of states at the Fermi level: 5.671 states/eV/f.u. For the formation energy from the elements, the calculation gives -11 meV per atom. The calculation puts the energy above the most stable polymorph in this dataset at 0.0 meV per atom. The space group is Fdd2.

Unit cell a=6.698 b=6.698 c=8.156 alpha=100.17 beta=100.17 gamma=124.75
Atoms (fractional coordinates):
Ho (0.663, 0.533, 0.786)
Ho (0.747, 0.877, 0.214)
Ho (0.735, 0.106, 0.889)
Ho (0.218, 0.846, 0.111)
Ho (0.356, 0.485, 0.389)
Ho (0.096, 0.968, 0.611)
Ho (0.127, 0.497, 0.714)
Ho (0.783, 0.413, 0.286)
Zn (0.290, 0.290, 0.000)
Zn (0.540, 0.040, 0.500)